Here is NdMnBi2O6 after structural relaxation from the Alexandria database. Energies are from GGA+U.

Properties
As for the space group: No. 1. The calculation puts the calculated volume at 15.5 A^3/atom. The calculation puts the electronic total energy at -6.75 eV per atom. The magnetization comes out at 0.398 μB per atom.

Unit cell a=6.102 b=6.136 c=5.986 alpha=61.18 beta=60.94 gamma=55.58
Fractional positions:
O (0.693, 0.076, 0.749)
Bi (0.510, 0.522, 0.432)
O (0.106, 0.508, 0.718)
Mn (0.819, 0.832, 0.542)
Nd (0.306, 0.292, 0.090)
O (0.946, 0.660, 0.259)
O (0.183, 0.945, 0.239)
O (0.453, 0.667, 0.763)
O (0.600, 0.160, 0.308)
Bi (0.046, 0.000, 0.916)